TiMnNbAu | PBE | optimized geometry

The structure in POSCAR format:
```
TiMnNbAu
1.0
4.4929 0.0000 0.0000
2.2465 3.8910 0.0000
2.2465 1.2970 3.6685
Nb Au Mn Ti
1 1 1 1
direct
0.7500 0.7500 0.7500
0.2500 0.2500 0.2500
0.5000 0.5000 0.5000
0.0000 0.0000 0.0000
```

Results
Formation enthalpy at 0 K = -0.10 eV/atom
Space-group type = F-43m (216)

=====

SiRh2Pb | PBE | optimized geometry

The structure in POSCAR format:
```
SiRh2Pb
1.0
-6.2508 -0.0397 5.7191
-3.8261 -1.1181 7.4762
-4.2234 2.0126 7.0636
Pb Rh Si
1 2 1
direct
0.7462 0.7462 0.7462
0.9964 0.9964 0.9964
0.2407 0.2407 0.2407
0.5167 0.5167 0.5167
```

Results
Energy above the most stable polymorph in this dataset = 51.9 kJ/mol of atoms
Space-group type = R3m (160)
E_form (uncorrected) = 0.1216 eV per atom

=====

Be2Zn2Fe | PBE | optimized geometry

The structure in POSCAR format:
```
Be2Zn2Fe
1.0
-5.6526 3.0675 -0.7880
-2.6753 -5.4876 -2.1707
-0.6881 -0.6367 2.4576
Fe Be Zn
2 4 4
direct
0.5000 0.5000 0.0000
0.0000 0.0000 0.0000
0.8748 0.6252 0.0000
0.6252 0.1252 0.0000
0.1252 0.3748 0.0000
0.3748 0.8748 0.0000
0.6725 0.8275 0.5000
0.1725 0.6725 0.5000
0.3275 0.1725 0.5000
0.8275 0.3275 0.5000
```

Results
Formation enthalpy at 0 K = 0.14 eV/atom
Energy above the most stable polymorph in this dataset = 0.0 kJ/mol of atoms
Space-group type = P4/mbm (127)

=====

K2CeNpTe4 | PBE | optimized geometry

The structure in POSCAR format:
```
K2CeNpTe4
1.0
-1.0836 3.9732 -2.0778
-6.1747 0.9184 4.9765
6.9051 3.7631 3.5949
K Te Np Ce
2 4 1 1
direct
0.5000 0.0000 0.5000
0.0000 0.5000 0.5000
0.0000 0.7404 0.2131
0.0000 0.2596 0.7869
0.5000 0.2336 0.2104
0.5000 0.7664 0.7896
0.0000 0.0000 0.0000
0.5000 0.5000 0.0000
```

Results
Space-group type = P2/m (10)
E_form (uncorrected) = -1.1185 eV per atom

=====

CaNbAs | PBE | optimized geometry

The structure in POSCAR format:
```
CaNbAs
1.0
7.2361 0.0000 0.0000
3.6181 7.6294 0.0576
3.6181 2.5949 7.1748
Nb Ca As
6 6 6
direct
0.4738 0.5000 0.5000
0.0397 0.6088 0.6084
0.0397 0.1084 0.1088
0.4738 0.0000 0.0000
0.2569 0.3912 0.3916
0.2569 0.8916 0.8912
0.8466 0.7500 0.2500
0.2570 0.9549 0.4549
0.6669 0.0451 0.5451
0.8466 0.2500 0.7500
0.6673 0.5449 0.0449
0.2571 0.4551 0.9551
0.5903 0.6667 0.6667
0.9238 0.8333 0.8333
0.9238 0.3333 0.3333
0.5903 0.1667 0.1667
0.2565 0.2502 0.7502
0.2570 0.7498 0.2498
```

Results
Formation enthalpy at 0 K = -0.50 eV/atom
Space-group type = P-62m (189)

=====

KCuMoCl6 | PBE | optimized geometry

The structure in POSCAR format:
```
KCuMoCl6
1.0
-5.8912 -1.6821 2.0415
4.9132 -4.1561 0.5398
2.9230 5.0964 12.6337
Cl K Mo Cu
12 2 2 2
direct
0.3733 0.0106 0.1515
0.0106 0.6373 0.8485
0.3627 0.9894 0.6515
0.3627 0.3733 0.8485
0.6267 0.6373 0.6515
0.3733 0.3627 0.3485
0.9894 0.3627 0.1515
0.0106 0.3733 0.6515
0.6267 0.9894 0.8485
0.6373 0.0106 0.3485
0.9894 0.6267 0.3485
0.6373 0.6267 0.1515
0.0000 0.0000 0.5000
0.0000 0.0000 0.0000
0.6667 0.3333 0.2500
0.3333 0.6667 0.7500
0.3333 0.6667 0.2500
0.6667 0.3333 0.7500
```

Results
Space-group type = P-31c (163)
E_form (uncorrected) = -1.0078 eV per atom

=====

LaIr2O6 | PBE | optimized geometry

The structure in POSCAR format:
```
LaIr2O6
1.0
-4.5869 1.1489 1.9521
0.0553 -4.5285 2.7951
2.0125 4.4529 2.1082
Ir O La
2 6 1
direct
0.5000 0.3333 0.6667
0.5000 0.6667 0.3333
0.7096 0.0000 0.3658
0.7096 0.3658 0.0000
0.2904 0.6342 0.0000
0.2904 0.0000 0.6342
0.7096 0.6342 0.6342
0.2904 0.3658 0.3658
0.0000 0.0000 0.0000
```

Results
Space-group type = P-31m (162)
E_form (uncorrected) = -1.4877 eV per atom

=====

Ta2Fe5CoB2 | PBE | optimized geometry

The structure in POSCAR format:
```
Ta2Fe5CoB2
1.0
-2.8198 0.4729 0.9192
2.1165 -2.6058 7.8332
2.0311 8.0023 2.1133
Fe Co B Ta
10 2 4 4
direct
0.5000 0.5000 0.0000
0.5000 0.2157 0.0676
0.5000 0.9324 0.2157
0.5000 0.2843 0.5676
0.5000 0.7843 0.9324
0.5000 0.5676 0.7157
0.5000 0.7157 0.4324
0.5000 0.4324 0.2843
0.5000 0.0676 0.7843
0.5000 0.0000 0.5000
0.0000 0.0000 0.0000
0.0000 0.5000 0.5000
0.0000 0.6213 0.8787
0.0000 0.8787 0.3787
0.0000 0.3787 0.1213
0.0000 0.1213 0.6213
0.0000 0.6764 0.1764
0.0000 0.8236 0.6764
0.0000 0.3236 0.8236
0.0000 0.1764 0.3236
```

Results
Formation enthalpy at 0 K = -0.34 eV/atom
Space-group type = P4/mbm (127)

=====

M_tot readings, ordered: 0.98, 0.00, 2.03, 5.00, 0.00, 2.00, 2.95, 5.97 μB per formula unit